DFT (PBE) results for an optimized crystal structure of Ac6TlIr.

a = 8.3833 Å, b = 11.5439 Å, c = 7.2470 Å
α = 90.00°, β = 103.67°, γ = 90.00°
Closest atoms and distances in Å follow each position.
Space group C2/m (No. 12)
Symmetry-distinct sites (fractional):
Ac: 0.1437 0.1775 0.2771 (multiplicity 8)  1 Ir 2.92
Ac: 0.2181 0.5000 0.1635 (multiplicity 4)  1 Ir 2.88
Tl: 0.0000 0.5000 0.5000 (multiplicity 2)  6 Ac 3.38-3.67
Ir: 0.0000 0.0000 0.0000 (multiplicity 2)  6 Ac 2.88-2.92

Output
E_tot   -4.67 eV per atom
Calculated formation energy   -0.18 eV per atom